No. 1
This record from the Alexandria database describes CsRb2PPt after structural relaxation. The functional is PBE-GGA.

Results
ΔE to the lowest computed polymorph: 0 meV/atom
energy of formation: -15.9 kJ/mol of atoms

```
data_CsRb2PPt
_space_group_name_H-M_alt 'P 4/m m m'
_space_group_IT_number 123
_space_group_name_Hall '-P 4 2'
_cell_length_a 6.775
_cell_length_b 6.775
_cell_length_c 4.503
_cell_angle_alpha 90.00
_cell_angle_beta 90.00
_cell_angle_gamma 90.00
loop_
_atom_site_label
_atom_site_type_symbol
_atom_site_fract_x
_atom_site_fract_y
_atom_site_fract_z
Cs1 Cs 0.000 0.000 0.000
Rb1 Rb 0.000 0.500 0.500
P1 P 0.500 0.500 0.500
Pt1 Pt 0.500 0.500 0.000
```



No. 2
This record from the Alexandria database describes CsRb2PPt after structural relaxation. The functional is PBE-GGA.

Results
ΔE to the lowest computed polymorph: 5 meV/atom
energy of formation: -15.4 kJ/mol of atoms

```
data_CsRb2PPt
_space_group_name_H-M_alt 'P 4/m m m'
_space_group_IT_number 123
_space_group_name_Hall '-P 4 2'
_cell_length_a 6.798
_cell_length_b 6.798
_cell_length_c 4.526
_cell_angle_alpha 90.00
_cell_angle_beta 90.00
_cell_angle_gamma 90.00
loop_
_atom_site_label
_atom_site_type_symbol
_atom_site_fract_x
_atom_site_fract_y
_atom_site_fract_z
Cs1 Cs 0.000 0.000 0.000
Rb1 Rb 0.000 0.500 0.500
P1 P 0.500 0.500 0.000
Pt1 Pt 0.500 0.500 0.500
```



No. 3
This record from the Alexandria database describes CsP2RuPt after structural relaxation. The functional is PBE-GGA.

Results
energy of formation: 275.9 kJ/mol of atoms

```
data_CsP2RuPt
_space_group_name_H-M_alt 'P 4/m m m'
_space_group_IT_number 123
_space_group_name_Hall '-P 4 2'
_cell_length_a 5.212
_cell_length_b 5.212
_cell_length_c 4.992
_cell_angle_alpha 90.00
_cell_angle_beta 90.00
_cell_angle_gamma 90.00
loop_
_atom_site_label
_atom_site_type_symbol
_atom_site_fract_x
_atom_site_fract_y
_atom_site_fract_z
Cs1 Cs 0.000 0.000 0.000
P1 P 0.000 0.500 0.000
Ru1 Ru 0.000 0.000 0.500
Pt1 Pt 0.500 0.500 0.500
```



No. 4
This record from the Alexandria database describes CsP2PtS8 after structural relaxation. The functional is PBE-GGA.

```
data_CsP2PtS8
_space_group_name_H-M_alt 'P -3'
_space_group_IT_number 147
_cell_length_a 5.8347
_cell_length_b 5.8347
_cell_length_c 10.4394
_cell_angle_alpha 90.00
_cell_angle_beta 90.00
_cell_angle_gamma 120.00
loop_
_space_group_symop_operation_xyz
'x,y,z'
'-x,-y,-z'
'-y,x-y,z'
'y,-x+y,-z'
'-x+y,-x,z'
'x-y,x,-z'
loop_
_atom_site_label
_atom_site_type_symbol
_atom_site_fract_x
_atom_site_fract_y
_atom_site_fract_z
Cs1 Cs 0.0000 0.0000 0.0000
P1 P 0.3333 0.6667 0.6938
Pt1 Pt 0.0000 0.0000 0.5000
S1 S 0.0152 0.6789 0.3599
S2 S 0.3333 0.6667 0.8848
```



No. 5
This record from the Alexandria database describes CsP2PtS after structural relaxation. The functional is PBE-GGA.

Results
ΔE to the lowest computed polymorph: 2163 meV/atom

```
data_CsP2PtS
_space_group_name_H-M_alt 'P 4/m m m'
_space_group_IT_number 123
_space_group_name_Hall '-P 4 2'
_cell_length_a 5.532
_cell_length_b 5.532
_cell_length_c 5.156
_cell_angle_alpha 90.00
_cell_angle_beta 90.00
_cell_angle_gamma 90.00
loop_
_atom_site_label
_atom_site_type_symbol
_atom_site_fract_x
_atom_site_fract_y
_atom_site_fract_z
Cs1 Cs 0.000 0.000 0.000
P1 P 0.000 0.500 0.000
Pt1 Pt 0.500 0.500 0.500
S1 S 0.000 0.000 0.500
```



No. 6
This record from the Alexandria database describes Cs2PPtS4 after structural relaxation. The functional is PBE-GGA.

```
data_Cs2PPtS4
_space_group_name_H-M_alt 'F d d d'
_space_group_IT_number 70
_cell_length_a 6.535
_cell_length_b 13.940
_cell_length_c 22.975
_cell_angle_alpha 90.00
_cell_angle_beta 90.00
_cell_angle_gamma 90.00
loop_
_space_group_symop_operation_xyz
'x,y,z'
'-x,-y,-z'
'-x+1/4,-y+1/4,z'
'x+1/4,y+1/4,-z'
'x,-y+1/4,-z+1/4'
'-x,y+1/4,z+1/4'
'-x+1/4,y,-z+1/4'
'x+1/4,-y,z+1/4'
'x,y+1/2,z+1/2'
'-x,-y+1/2,-z+1/2'
'-x+1/4,-y+3/4,z+1/2'
'x+1/4,y+3/4,-z+1/2'
'x,-y+3/4,-z+3/4'
'-x,y+3/4,z+3/4'
'-x+1/4,y+1/2,-z+3/4'
'x+1/4,-y+1/2,z+3/4'
'x+1/2,y,z+1/2'
'-x+1/2,-y,-z+1/2'
'-x+3/4,-y+1/4,z+1/2'
'x+3/4,y+1/4,-z+1/2'
'x+1/2,-y+1/4,-z+3/4'
'-x+1/2,y+1/4,z+3/4'
'-x+3/4,y,-z+3/4'
'x+3/4,-y,z+3/4'
'x+1/2,y+1/2,z'
'-x+1/2,-y+1/2,-z'
'-x+3/4,-y+3/4,z'
'x+3/4,y+3/4,-z'
'x+1/2,-y+3/4,-z+1/4'
'-x+1/2,y+3/4,z+1/4'
'-x+3/4,y+1/2,-z+1/4'
'x+3/4,-y+1/2,z+1/4'
loop_
_atom_site_label
_atom_site_type_symbol
_atom_site_fract_x
_atom_site_fract_y
_atom_site_fract_z
Cs1 Cs 0.125 0.125 0.294
P1 P 0.125 0.125 0.625
Pt1 Pt 0.125 0.125 0.125
S1 S 0.088 0.284 0.837
```



no.,E_tot (eV/f.u.)
1,-15.06
2,-15.04
3,-12.69
4,-54.06
5,-9.76
6,-34.36